A plane-wave DFT calculation with PBE-GGA was carried out for an optimized crystal structure of La2Pr4Tl.

Properties
**Formation energy**: -46 meV per atom
**Total moment**: 0.0000 μB/atom
**Symmetry**: P2_1/m
**E above lowest polymorph**: 0 meV/atom

a = 5.9468 Å, b = 6.8981 Å, c = 12.0800 Å
α = 90.00°, β = 103.54°, γ = 90.00°
With the nearest neighbours (Å) after each atom.
Positions (direct):
La 0.0122 0.2500 0.4780  2 Tl 3.39-3.43, 4 Pr 3.41-3.52, 2 La 3.50
La 0.3499 0.7500 0.0710  7 Pr 3.34-3.63
La 0.6501 0.2500 0.9290  7 Pr 3.34-3.63
La 0.9878 0.7500 0.5220  2 Tl 3.39-3.43, 4 Pr 3.41-3.52, 2 La 3.50
Pr 0.1481 0.0053 0.7806  4 Pr 3.38-3.76, 2 La 3.52-3.53, 1 Tl 3.56
Pr 0.1481 0.4947 0.7806  4 Pr 3.38-3.76, 2 La 3.52-3.53, 1 Tl 3.56
Pr 0.2086 0.2500 0.0646  1 Tl 3.24, 4 La 3.34-3.55, 2 Pr 3.60
Pr 0.4164 0.7500 0.3772  3 Tl 3.37-3.49, 3 La 3.41-3.63
Pr 0.5836 0.2500 0.6228  3 Tl 3.37-3.49, 3 La 3.41-3.63
Pr 0.7914 0.7500 0.9354  1 Tl 3.24, 4 La 3.34-3.55, 2 Pr 3.60
Pr 0.8519 0.5053 0.2194  4 Pr 3.38-3.76, 2 La 3.52-3.53, 1 Tl 3.56
Pr 0.8519 0.9947 0.2194  4 Pr 3.38-3.76, 2 La 3.52-3.53, 1 Tl 3.56
Tl 0.4405 0.2500 0.3358  6 Pr 3.24-3.56, 2 La 3.39-3.43
Tl 0.5595 0.7500 0.6642  6 Pr 3.24-3.56, 2 La 3.39-3.43